A geometry-optimized SrHg4Pd4 structure. Source: the Alexandria database, functional GGA-PBE. Values from VASP.

```
&SYSTEM
  ibrav = 0, nat = 18, ntyp = 3
/
ATOMIC_SPECIES
Pd 106.42 Pd.upf
Sr 87.62 Sr.upf
Hg 200.59 Hg.upf
CELL_PARAMETERS angstrom
5.490 0.000 0.000
0.000 8.966 0.000
0.000 0.000 8.966
ATOMIC_POSITIONS crystal
Pd 0.389 0.645 0.822
Sr 0.500 0.500 0.500
Hg 0.609 0.873 0.665
Hg 0.891 0.627 0.835
Sr 0.000 0.000 0.000
Hg 0.391 0.335 0.873
Hg 0.109 0.835 0.373
Pd 0.111 0.145 0.322
Hg 0.391 0.665 0.127
Pd 0.389 0.355 0.178
Pd 0.111 0.855 0.678
Hg 0.609 0.127 0.335
Pd 0.889 0.678 0.145
Hg 0.891 0.373 0.165
Pd 0.889 0.322 0.855
Pd 0.611 0.822 0.355
Pd 0.611 0.178 0.645
Hg 0.109 0.165 0.627
```

## Properties
* energy relative to the elements: -162 meV/atom
* total energy: -2.79 eV per atom
* Fermi-level density of states: 4.46 states/eV/f.u.
* M_tot: 0.00 μB per atom
* SG: P4_2/n, No. 86